Entry 1:
! ZrFeCoGe (PBE, optimized geometry); values from VASP
! Excess energy over the best structure of this formula in the dataset, meV per atom: 225.4
! Final energy, eV per atom: -7.26
! Density, Mg/m³: 7.80
! Space group: F-43m
&SYSTEM
  ibrav = 0, nat = 4, ntyp = 4
/
ATOMIC_SPECIES
Co 58.93 Co.upf
Fe 55.84 Fe.upf
Ge 72.64 Ge.upf
Zr 91.22 Zr.upf
CELL_PARAMETERS angstrom
0.000 3.095 3.095
3.095 0.000 3.095
3.095 3.095 0.000
ATOMIC_POSITIONS crystal
Co 0.750 0.750 0.750
Fe 0.500 0.500 0.500
Ge 0.000 0.000 0.000
Zr 0.250 0.250 0.250

Entry 2:
! KBaPd (PBE, optimized geometry); values from VASP
! Final energy, eV per atom: -2.86
! Density, Mg/m³: 3.95
! Space group: F-43m
&SYSTEM
  ibrav = 0, nat = 3, ntyp = 3
/
ATOMIC_SPECIES
Ba 137.33 Ba.upf
K 39.10 K.upf
Pd 106.42 Pd.upf
CELL_PARAMETERS angstrom
-3.530 -4.159 -0.844
-4.940 0.029 2.464
-4.569 0.821 -2.986
ATOMIC_POSITIONS crystal
Ba 0.250 0.250 0.250
K 0.750 0.750 0.750
Pd 0.000 0.000 0.000

Entry 3:
! Y2PtWN6 (PBE, optimized geometry); values from VASP
! Final energy, eV per atom: -8.38
! Density, Mg/m³: 8.27
! Space group: R-3m
&SYSTEM
  ibrav = 0, nat = 20, ntyp = 4
/
ATOMIC_SPECIES
N 14.01 N.upf
Pt 195.08 Pt.upf
W 183.84 W.upf
Y 88.91 Y.upf
CELL_PARAMETERS angstrom
-3.407 -7.616 5.583
0.379 -9.809 2.104
2.044 -7.158 6.735
ATOMIC_POSITIONS crystal
N 0.629 0.629 0.117
N 0.716 0.204 0.204
N 0.204 0.716 0.204
N 0.796 0.796 0.284
N 0.883 0.371 0.371
N 0.371 0.883 0.371
N 0.629 0.117 0.629
N 0.117 0.629 0.629
N 0.204 0.204 0.716
N 0.284 0.796 0.796
N 0.796 0.284 0.796
N 0.371 0.371 0.883
Pt 0.000 0.000 0.000
Pt 0.500 0.500 0.500
W 0.404 0.404 0.404
W 0.596 0.596 0.596
Y 0.144 0.144 0.144
Y 0.267 0.267 0.267
Y 0.733 0.733 0.733
Y 0.856 0.856 0.856

Entry 4:
! InTcNiPd (PBE, optimized geometry); values from VASP
! Excess energy over the best structure of this formula in the dataset, meV per atom: 0.0
! Final energy, eV per atom: -5.82
! Density, Mg/m³: 10.10
! Space group: F-43m
&SYSTEM
  ibrav = 0, nat = 4, ntyp = 4
/
ATOMIC_SPECIES
In 114.82 In.upf
Ni 58.69 Ni.upf
Pd 106.42 Pd.upf
Tc 98.00 Tc.upf
CELL_PARAMETERS angstrom
2.204 -1.993 -3.308
2.082 -3.861 0.725
-1.586 -3.751 -1.785
ATOMIC_POSITIONS crystal
In 0.000 0.000 0.000
Ni 0.750 0.750 0.750
Pd 0.250 0.250 0.250
Tc 0.500 0.500 0.500

Entry 5:
! ZnCoTcPd (PBE, optimized geometry); values from VASP
! Excess energy over the best structure of this formula in the dataset, meV per atom: 0.0
! Final energy, eV per atom: -5.81
! Density, Mg/m³: 9.72
! Space group: F-43m
! DFT formation energy, eV per atom: 0.16
&SYSTEM
  ibrav = 0, nat = 4, ntyp = 4
/
ATOMIC_SPECIES
Co 58.93 Co.upf
Pd 106.42 Pd.upf
Tc 98.00 Tc.upf
Zn 65.41 Zn.upf
CELL_PARAMETERS angstrom
0.000 3.039 3.039
3.039 0.000 3.039
3.039 3.039 0.000
ATOMIC_POSITIONS crystal
Co 0.750 0.750 0.750
Pd 0.250 0.250 0.250
Tc 0.500 0.500 0.500
Zn 0.000 0.000 0.000

Entry 6:
! LuMgTlPd (PBE, optimized geometry); values from VASP
! Excess energy over the best structure of this formula in the dataset, meV per atom: 171.7
! Final energy, eV per atom: -3.71
! Density, Mg/m³: 10.34
! Space group: F-43m
&SYSTEM
  ibrav = 0, nat = 4, ntyp = 4
/
ATOMIC_SPECIES
Lu 174.97 Lu.upf
Mg 24.30 Mg.upf
Pd 106.42 Pd.upf
Tl 204.38 Tl.upf
CELL_PARAMETERS angstrom
4.845 0.100 -0.521
2.683 -3.815 1.417
2.152 -2.837 -3.328
ATOMIC_POSITIONS crystal
Lu 0.500 0.500 0.500
Mg 0.750 0.750 0.750
Pd 0.000 0.000 0.000
Tl 0.250 0.250 0.250

Entry 7:
! NpTlIr (PBE, optimized geometry); values from VASP
! Final energy, eV per atom: -7.93
! Density, Mg/m³: 14.72
! Space group: F-43m
&SYSTEM
  ibrav = 0, nat = 3, ntyp = 3
/
ATOMIC_SPECIES
Ir 192.22 Ir.upf
Np 237.00 Np.upf
Tl 204.38 Tl.upf
CELL_PARAMETERS angstrom
-2.357 -3.912 -0.915
1.429 -4.054 1.794
-2.481 -2.064 3.359
ATOMIC_POSITIONS crystal
Ir 0.000 0.000 0.000
Np 0.750 0.750 0.750
Tl 0.250 0.250 0.250

Entry 8:
! ThOs (PBE, optimized geometry); values from VASP
! Final energy, eV per atom: -9.30
! Density, Mg/m³: 14.41
! Space group: Fm-3m
! DFT formation energy, eV per atom: 0.02
&SYSTEM
  ibrav = 0, nat = 2, ntyp = 2
/
ATOMIC_SPECIES
Os 190.23 Os.upf
Th 232.04 Th.upf
CELL_PARAMETERS angstrom
2.378 0.304 3.324
-1.538 -0.843 3.704
1.184 -3.382 1.989
ATOMIC_POSITIONS crystal
Os 0.000 0.000 0.000
Th 0.500 0.500 0.500

Entry 9:
! Zn3P2O8 (PBE, optimized geometry); values from VASP
! Excess energy over the best structure of this formula in the dataset, meV per atom: 22.0
! Final energy, eV per atom: -6.08
! Density, Mg/m³: 4.25
! Space group: P2_1/c
&SYSTEM
  ibrav = 0, nat = 52, ntyp = 3
/
ATOMIC_SPECIES
O 16.00 O.upf
P 30.97 P.upf
Zn 65.41 Zn.upf
CELL_PARAMETERS angstrom
8.231 0.000 0.000
0.000 9.173 0.000
-3.324 0.000 7.991
ATOMIC_POSITIONS crystal
O 0.253 0.396 0.069
O 0.952 0.321 0.076
O 0.399 0.819 0.090
O 0.161 0.981 0.101
O 0.608 0.385 0.129
O 0.784 0.773 0.182
O 0.473 0.077 0.203
O 0.134 0.543 0.234
O 0.866 0.043 0.266
O 0.527 0.577 0.297
O 0.216 0.273 0.318
O 0.392 0.885 0.371
O 0.839 0.481 0.399
O 0.601 0.319 0.410
O 0.048 0.821 0.424
O 0.747 0.896 0.431
O 0.253 0.104 0.569
O 0.952 0.179 0.576
O 0.399 0.681 0.590
O 0.161 0.519 0.601
O 0.608 0.115 0.629
O 0.784 0.727 0.682
O 0.473 0.423 0.703
O 0.134 0.957 0.734
O 0.866 0.457 0.766
O 0.527 0.923 0.797
O 0.216 0.227 0.818
O 0.392 0.615 0.871
O 0.839 0.019 0.899
O 0.601 0.181 0.910
O 0.048 0.679 0.924
O 0.747 0.604 0.931
P 0.140 0.385 0.177
P 0.358 0.941 0.192
P 0.642 0.441 0.308
P 0.860 0.885 0.323
P 0.140 0.115 0.677
P 0.358 0.559 0.692
P 0.642 0.059 0.808
P 0.860 0.615 0.823
Zn 0.417 0.232 0.029
Zn 0.298 0.612 0.063
Zn 0.989 0.112 0.134
Zn 0.011 0.612 0.366
Zn 0.702 0.112 0.437
Zn 0.583 0.732 0.471
Zn 0.417 0.268 0.529
Zn 0.298 0.888 0.563
Zn 0.989 0.388 0.634
Zn 0.011 0.888 0.866
Zn 0.702 0.388 0.937
Zn 0.583 0.768 0.971

Entry 10:
! ScAuSO (PBE, optimized geometry); values from VASP
! Excess energy over the best structure of this formula in the dataset, meV per atom: 191.2
! Final energy, eV per atom: -6.32
! Density, Mg/m³: 7.55
! Space group: P4bm
&SYSTEM
  ibrav = 0, nat = 16, ntyp = 4
/
ATOMIC_SPECIES
Au 196.97 Au.upf
O 16.00 O.upf
S 32.06 S.upf
Sc 44.96 Sc.upf
CELL_PARAMETERS angstrom
5.299 0.000 0.000
0.000 5.299 0.000
0.000 0.000 9.089
ATOMIC_POSITIONS crystal
Au 0.684 0.184 0.495
Au 0.184 0.316 0.495
Au 0.816 0.684 0.495
Au 0.316 0.816 0.495
O 0.748 0.248 0.001
O 0.248 0.252 0.001
O 0.752 0.748 0.001
O 0.252 0.752 0.001
S 0.000 0.000 0.278
S 0.500 0.500 0.278
S 0.500 0.000 0.730
S 0.000 0.500 0.730
Sc 0.500 0.000 0.110
Sc 0.000 0.500 0.110
Sc 0.000 0.000 0.890
Sc 0.500 0.500 0.890

Entry 11:
! LuZnInFe (PBE, optimized geometry); values from VASP
! Excess energy over the best structure of this formula in the dataset, meV per atom: 0.0
! Final energy, eV per atom: -4.23
! Density, Mg/m³: 9.30
! Space group: F-43m
&SYSTEM
  ibrav = 0, nat = 4, ntyp = 4
/
ATOMIC_SPECIES
Fe 55.84 Fe.upf
In 114.82 In.upf
Lu 174.97 Lu.upf
Zn 65.41 Zn.upf
CELL_PARAMETERS angstrom
-2.680 0.666 3.803
-4.630 0.652 -0.473
-2.997 -3.347 1.378
ATOMIC_POSITIONS crystal
Fe 0.750 0.750 0.750
In 0.000 0.000 0.000
Lu 0.500 0.500 0.500
Zn 0.250 0.250 0.250

Entry 12:
! PmBePd (PBE, optimized geometry); values from VASP
! Excess energy over the best structure of this formula in the dataset, meV per atom: 0.0
! Final energy, eV per atom: -4.66
! Density, Mg/m³: 6.52
! Space group: F-43m
&SYSTEM
  ibrav = 0, nat = 3, ntyp = 3
/
ATOMIC_SPECIES
Be 9.01 Be.upf
Pd 106.42 Pd.upf
Pm 145.00 Pm.upf
CELL_PARAMETERS angstrom
0.000 3.213 3.213
3.213 0.000 3.213
3.213 3.213 0.000
ATOMIC_POSITIONS crystal
Be 0.500 0.500 0.500
Pd 0.250 0.250 0.250
Pm 0.000 0.000 0.000

Entry 13:
! Pr2YCo2B2N3 (PBE, optimized geometry); values from VASP
! Final energy, eV per atom: -7.91
! Density, Mg/m³: 7.04
! Space group: I4/mmm
&SYSTEM
  ibrav = 0, nat = 10, ntyp = 5
/
ATOMIC_SPECIES
B 10.81 B.upf
Co 58.93 Co.upf
N 14.01 N.upf
Pr 140.91 Pr.upf
Y 88.91 Y.upf
CELL_PARAMETERS angstrom
6.054 -1.791 8.042
6.508 3.246 7.186
-8.250 -0.281 -6.032
ATOMIC_POSITIONS crystal
B 0.196 0.196 0.000
B 0.804 0.804 0.000
Co 0.750 0.250 0.500
Co 0.250 0.750 0.500
N 0.121 0.121 0.000
N 0.500 0.500 0.000
N 0.879 0.879 0.000
Pr 0.373 0.373 0.000
Pr 0.627 0.627 0.000
Y 0.000 0.000 0.000

Entry 14:
! TbCuAu4 (PBE, optimized geometry); values from VASP
! Final energy, eV per atom: -3.95
! Density, Mg/m³: 14.72
! Space group: P4/mmm
! DFT formation energy, eV per atom: -0.38
&SYSTEM
  ibrav = 0, nat = 6, ntyp = 3
/
ATOMIC_SPECIES
Au 196.97 Au.upf
Cu 63.55 Cu.upf
Tb 158.93 Tb.upf
CELL_PARAMETERS angstrom
-3.167 -0.848 -1.457
-0.180 -2.912 2.087
-4.137 4.730 6.243
ATOMIC_POSITIONS crystal
Au 0.500 0.500 0.188
Au 0.000 0.000 0.347
Au 0.000 0.000 0.653
Au 0.500 0.500 0.812
Cu 0.500 0.500 0.500
Tb 0.000 0.000 0.000

Entry 15:
! Sr2NbTcN6 (PBE, optimized geometry); values from VASP
! Final energy, eV per atom: -7.68
! Density, Mg/m³: 5.68
! Space group: C2/m
&SYSTEM
  ibrav = 0, nat = 10, ntyp = 4
/
ATOMIC_SPECIES
N 14.01 N.upf
Nb 92.91 Nb.upf
Sr 87.62 Sr.upf
Tc 98.00 Tc.upf
CELL_PARAMETERS angstrom
5.705 0.000 0.000
2.852 4.944 0.000
2.851 1.646 4.666
ATOMIC_POSITIONS crystal
N 0.742 0.758 0.254
N 0.743 0.245 0.255
N 0.253 0.245 0.259
N 0.747 0.755 0.741
N 0.257 0.755 0.745
N 0.258 0.242 0.746
Nb 0.000 0.500 0.000
Sr 0.249 0.750 0.251
Sr 0.751 0.250 0.749
Tc 0.500 0.000 0.500

Entry 16:
! LiAl2Te4Au (PBE, optimized geometry); values from VASP
! Final energy, eV per atom: -3.66
! Density, Mg/m³: 5.23
! Space group: I-4
&SYSTEM
  ibrav = 0, nat = 8, ntyp = 4
/
ATOMIC_SPECIES
Al 26.98 Al.upf
Au 196.97 Au.upf
Li 6.94 Li.upf
Te 127.60 Te.upf
CELL_PARAMETERS angstrom
-2.129 4.160 5.919
1.083 7.224 -1.879
-3.648 -5.493 -3.661
ATOMIC_POSITIONS crystal
Al 0.500 0.500 0.000
Al 0.750 0.250 0.500
Au 0.000 0.000 0.000
Li 0.250 0.750 0.500
Te 0.622 0.138 0.012
Te 0.862 0.874 0.484
Te 0.391 0.378 0.516
Te 0.126 0.609 0.988

Entry 17:
! Li2YLuGa2Cu2 (PBE, optimized geometry); values from VASP
! Final energy, eV per atom: -3.91
! Density, Mg/m³: 6.96
! Space group: P-4m2
&SYSTEM
  ibrav = 0, nat = 8, ntyp = 5
/
ATOMIC_SPECIES
Cu 63.55 Cu.upf
Ga 69.72 Ga.upf
Li 6.94 Li.upf
Lu 174.97 Lu.upf
Y 88.91 Y.upf
CELL_PARAMETERS angstrom
4.510 0.000 0.000
0.000 4.510 0.000
0.000 0.000 6.381
ATOMIC_POSITIONS crystal
Cu 0.000 0.500 0.242
Cu 0.500 0.000 0.758
Ga 0.000 0.000 0.000
Ga 0.500 0.500 0.500
Li 0.500 0.000 0.247
Li 0.000 0.500 0.753
Lu 0.500 0.500 0.000
Y 0.000 0.000 0.500

Entry 18:
! Zr2TlPdF11 (PBE, optimized geometry); values from VASP
! Final energy, eV per atom: -5.82
! Density, Mg/m³: 5.85
! Space group: P-1
&SYSTEM
  ibrav = 0, nat = 15, ntyp = 4
/
ATOMIC_SPECIES
F 19.00 F.upf
Pd 106.42 Pd.upf
Tl 204.38 Tl.upf
Zr 91.22 Zr.upf
CELL_PARAMETERS angstrom
5.055 0.000 0.000
1.080 5.477 0.000
1.529 1.348 7.202
ATOMIC_POSITIONS crystal
F 0.737 0.435 0.014
F 0.527 0.811 0.167
F 0.162 0.234 0.256
F 0.657 0.141 0.345
F 0.057 0.682 0.350
F 0.500 0.500 0.500
F 0.943 0.318 0.650
F 0.343 0.859 0.655
F 0.838 0.766 0.744
F 0.473 0.189 0.833
F 0.263 0.565 0.986
Pd 0.000 0.000 0.500
Tl 0.000 0.000 0.000
Zr 0.427 0.473 0.246
Zr 0.573 0.527 0.754

Entry 19:
! TmReIr (PBE, optimized geometry); values from VASP
! Final energy, eV per atom: -7.41
! Density, Mg/m³: 14.22
! Space group: F-43m
! DFT formation energy, eV per atom: 1.18
&SYSTEM
  ibrav = 0, nat = 3, ntyp = 3
/
ATOMIC_SPECIES
Ir 192.22 Ir.upf
Re 186.21 Re.upf
Tm 168.93 Tm.upf
CELL_PARAMETERS angstrom
0.400 1.548 4.193
1.609 4.126 0.725
-2.729 3.248 1.463
ATOMIC_POSITIONS crystal
Ir 0.250 0.250 0.250
Re 0.750 0.750 0.750
Tm 0.000 0.000 0.000

Entry 20:
! CsCuNi (PBE, optimized geometry); values from VASP
! Final energy, eV per atom: -2.25
! Density, Mg/m³: 5.56
! Space group: F-43m
&SYSTEM
  ibrav = 0, nat = 3, ntyp = 3
/
ATOMIC_SPECIES
Cs 132.91 Cs.upf
Cu 63.55 Cu.upf
Ni 58.69 Ni.upf
CELL_PARAMETERS angstrom
0.000 3.364 3.364
3.364 0.000 3.364
3.364 3.364 0.000
ATOMIC_POSITIONS crystal
Cs 0.250 0.250 0.250
Cu 0.750 0.750 0.750
Ni 0.000 0.000 0.000